DFT (PBE) results for crystalline BaFeSeN2 at its relaxed geometry.

- Spin magnetization: 4.79 μB/cell
- Calculated total energy: -4.1406 eV per atom
- Crystal system: tetragonal

Cell and atoms, written as CIF:
```
data_BaFeSeN2
_chemical_formula_sum 'Ba1 Fe1 Se1 N2'
_cell_length_a 4.331
_cell_length_b 4.331
_cell_length_c 6.631
_cell_angle_alpha 90.00
_cell_angle_beta 90.00
_cell_angle_gamma 90.00
_space_group_name_H-M_alt 'P 4/m m m'
_space_group_IT_number 123
_space_group_name_Hall '-P 4 2'
loop_
_atom_site_label
_atom_site_fract_x
_atom_site_fract_y
_atom_site_fract_z
_atom_site_occupancy
Ba1 0.000 0.000 0.000 1
Fe1 0.500 0.500 0.500 1
Se1 0.000 0.000 0.500 1
N1 0.000 0.500 0.000 1
```